No. 1
DFT (GGA-PBE) results for an optimized crystal structure of KLi2AgP.

- Space group: P4/mmm, No. 123
- Calculated volume: 119.8 Å³ per cell
- ΔH_f (0 K): -1.183 eV/f.u.
- Final energy: -2.874 eV per atom
- Total moment: 0.00 μB/f.u.

Lattice parameters (Å, degrees): 4.8631 4.8631 5.0664 90.00 90.00 90.00
Positions (direct):
K  0.5000  0.5000  0.5000
Li  0.5000  0.0000  0.0000
Li  0.0000  0.5000  0.0000
P  0.0000  0.0000  0.0000
Ag  0.0000  0.0000  0.5000

No. 2
DFT (GGA-PBE) results for an optimized crystal structure of KLi2AgPb.

- Space group: P4/mmm, No. 123
- Calculated volume: 158.4 Å³ per cell
- ΔH_f (0 K): -0.169 eV/f.u.
- Final energy: -2.331 eV per atom
- Total moment: 0.00 μB/f.u.

Lattice parameters (Å, degrees): 5.3835 5.3835 5.4652 90.00 90.00 90.00
Positions (direct):
Li  0.5000  0.0000  0.0000
Li  0.0000  0.5000  0.0000
Ag  0.0000  0.0000  0.5000
K  0.5000  0.5000  0.5000
Pb  0.0000  0.0000  0.0000

No. 3
DFT (GGA-PBE) results for an optimized crystal structure of KLiAgPb.

- Space group: F-43m, No. 216
- Calculated volume: 103.0 Å³ per cell
- ΔH_f (0 K): -0.097 eV/f.u.
- Final energy: -2.417 eV per atom
- Total moment: 0.00 μB/f.u.

Lattice parameters (Å, degrees): 5.2619 5.2619 5.2619 60.00 60.00 60.00
Positions (direct):
Ag  0.5000  0.5000  0.5000
Pb  0.2500  0.2500  0.2500
Li  0.0000  0.0000  0.0000
K  0.7500  0.7500  0.7500

> Which of these has the highest final energy?

KLi2AgPb

Copy entry 1 word for word.
DFT (GGA-PBE) results for an optimized crystal structure of KLi2AgP.

- Space group: P4/mmm, No. 123
- Calculated volume: 119.8 Å³ per cell
- ΔH_f (0 K): -1.183 eV/f.u.
- Final energy: -2.874 eV per atom
- Total moment: 0.00 μB/f.u.

Lattice parameters (Å, degrees): 4.8631 4.8631 5.0664 90.00 90.00 90.00
Positions (direct):
K  0.5000  0.5000  0.5000
Li  0.5000  0.0000  0.0000
Li  0.0000  0.5000  0.0000
P  0.0000  0.0000  0.0000
Ag  0.0000  0.0000  0.5000